(1)
Here is a relaxed structure of FeMo2Br from the Alexandria database. Energies are from PBE-GGA.

The calculation puts the raw formation energy at 0.57 eV/atom. As for the uncorrected energy: -7.3820 eV per atom.

The structure belongs to space group Cmm2 (No. 35); the cell edges are 3.2303, 4.9072 and 8.5462 Å and the angles 90.00°, 90.00° and 90.00°. The asymmetric unit holds Fe at (0.0000, 0.0000, 0.0000), Mo at (0.0000, 0.0000, 0.5346), Mo at (0.0000, 0.5000, 0.7661) and Br at (0.0000, 0.5000, 0.2469).

---

(2)
Here is a relaxed structure of CoHgOs from the Alexandria database. Energies are from PBE-GGA.

The formation energy is 714 meV/atom. As for the uncorrected energy: -5.4986 eV per atom.

The structure belongs to space group Fmm2 (No. 42); the cell edges are 2.8218, 4.7960 and 14.0057 Å and the angles 90.00°, 90.00° and 90.00°. The asymmetric unit holds Co at (0.0000, 0.0000, 0.0000), Hg at (0.0000, 0.0000, 0.6698) and Os at (0.0000, 0.0000, 0.3581).

---

| no. | polymorph energy (0 for the lowest one) (meV per atom) |
| --- | --- |
| 1 | 124 |
| 2 | 217 |